(1)
The following is a DFT calculation (PBE-GGA) of a relaxed Tb15CePm4 crystal.

Lattice parameters (Å, degrees): 5.0662 5.0662 25.2397 90.00 90.00 90.00
Last column: nearest neighbours and their distance in Å.
Atoms (fractional coordinates):
Tb: 0.5000 0.5000 0.6004  4 Pm 3.58, 8 Tb 3.58-3.59
Tb: 0.5000 0.0000 0.7009  8 Tb 3.57-3.59, 4 Pm 3.58-3.59
Pm: 0.0000 0.0000 0.8015  12 Tb 3.58-3.59
Tb: 0.5000 0.5000 0.0000  8 Tb 3.54, 4 Ce 3.58
Tb: 0.5000 0.5000 0.3996  4 Pm 3.58, 8 Tb 3.58-3.59
Tb: 0.5000 0.0000 0.2991  8 Tb 3.57-3.59, 4 Pm 3.58-3.59
Tb: 0.5000 0.0000 0.9019  8 Tb 3.54-3.60, 2 Ce 3.54, 2 Pm 3.58
Tb: 0.5000 0.5000 0.8005  8 Tb 3.57-3.60, 4 Pm 3.58
Pm: 0.0000 0.0000 0.3996  12 Tb 3.58
Pm: 0.0000 0.0000 0.6004  12 Tb 3.58
Tb: 0.0000 0.5000 0.5000  8 Tb 3.58, 4 Pm 3.58
Tb: 0.0000 0.5000 0.0981  8 Tb 3.54-3.60, 2 Ce 3.54, 2 Pm 3.58
Tb: 0.5000 0.0000 0.0981  2 Ce 3.54, 8 Tb 3.54-3.60, 2 Pm 3.58
Tb: 0.0000 0.5000 0.7009  8 Tb 3.57-3.59, 4 Pm 3.58-3.59
Tb: 0.0000 0.5000 0.9019  8 Tb 3.54-3.60, 2 Ce 3.54, 2 Pm 3.58
Tb: 0.0000 0.5000 0.2991  8 Tb 3.57-3.59, 4 Pm 3.58-3.59
Ce: 0.0000 0.0000 0.0000  12 Tb 3.54-3.58
Tb: 0.5000 0.0000 0.5000  8 Tb 3.58, 4 Pm 3.58
Tb: 0.5000 0.5000 0.1995  8 Tb 3.57-3.60, 4 Pm 3.58
Pm: 0.0000 0.0000 0.1985  12 Tb 3.58-3.59

SG: P4/mmm
DFT formation energy in eV per formula unit: 0.53


(2)
The following is a DFT calculation (PBE-GGA) of a relaxed Tb4CePm10 crystal.

Lattice parameters (Å, degrees): 10.6903 8.7514 8.7514 68.10 52.35 52.35
Last column: nearest neighbours and their distance in Å.
Atoms (fractional coordinates):
Pm: 0.5545 0.9050 0.6725  5 Pm 3.21-3.38
Pm: 0.8681 0.9050 0.6725  5 Pm 3.21-3.38
Pm: 0.2270 0.3275 0.9050  5 Pm 3.21-3.38
Tb: 0.0588 0.6108 0.2716  2 Pm 3.20, 1 Ce 3.29, 1 Tb 3.52
Tb: 0.6696 0.2716 0.3892  2 Pm 3.20, 1 Ce 3.29, 1 Tb 3.52
Pm: 0.7730 0.6725 0.0950  5 Pm 3.21-3.38
Pm: 0.2500 0.5000 0.5000  4 Tb 3.20, 4 Pm 3.21
Pm: 0.4455 0.0950 0.3275  5 Pm 3.21-3.38
Ce: 0.0000 0.0000 0.0000  4 Tb 3.29
Tb: 0.9412 0.3892 0.7284  2 Pm 3.20, 1 Ce 3.29, 1 Tb 3.52
Pm: 0.1319 0.0950 0.3275  5 Pm 3.21-3.38
Pm: 0.5405 0.3275 0.9050  5 Pm 3.21-3.38
Pm: 0.4595 0.6725 0.0950  5 Pm 3.21-3.38
Tb: 0.3304 0.7284 0.6108  2 Pm 3.20, 1 Ce 3.29, 1 Tb 3.52
Pm: 0.7500 0.5000 0.5000  4 Tb 3.20, 4 Pm 3.21

SG: I4/m
DFT formation energy in eV per formula unit: 4.85


(3)
The following is a DFT calculation (PBE-GGA) of a relaxed TbCePm3 crystal.

Lattice parameters (Å, degrees): 9.0256 9.0256 9.5122 90.00 90.00 119.42
Last column: nearest neighbours and their distance in Å.
Atoms (fractional coordinates):
Pm: 0.0429 0.2671 0.5786  4 Pm 3.19-3.49, 2 Ce 3.49-3.54
Tb: 0.4686 0.4686 0.7500  1 Tb 3.47, 8 Pm 3.58-3.72
Pm: 0.7329 0.9571 0.0786  4 Pm 3.19-3.49, 2 Ce 3.49-3.54
Pm: 0.7329 0.9571 0.4214  4 Pm 3.19-3.49, 2 Ce 3.49-3.54
Ce: 0.3917 0.9707 0.2500  1 Tb 3.29, 6 Pm 3.44-3.54
Pm: 0.9571 0.7329 0.0786  4 Pm 3.19-3.49, 2 Ce 3.49-3.54
Tb: 0.1504 0.1504 0.2500  2 Ce 3.29, 1 Tb 3.47, 8 Pm 3.58-3.67
Pm: 0.6708 0.3292 0.0000  4 Pm 3.36-3.74, 2 Ce 3.44, 2 Tb 3.58
Ce: 0.9707 0.3917 0.2500  1 Tb 3.29, 6 Pm 3.44-3.54
Pm: 0.3292 0.6708 0.5000  4 Pm 3.36-3.74, 2 Ce 3.44, 2 Tb 3.58
Pm: 0.2671 0.0429 0.9214  4 Pm 3.19-3.49, 2 Ce 3.49-3.54
Pm: 0.3292 0.6708 0.0000  4 Pm 3.36-3.74, 2 Ce 3.44, 2 Tb 3.58
Ce: 0.0293 0.6083 0.7500  1 Tb 3.29, 6 Pm 3.44-3.54
Tb: 0.5314 0.5314 0.2500  1 Tb 3.47, 8 Pm 3.58-3.72
Ce: 0.6083 0.0293 0.7500  1 Tb 3.29, 6 Pm 3.44-3.54
Pm: 0.9571 0.7329 0.4214  4 Pm 3.19-3.49, 2 Ce 3.49-3.54
Pm: 0.2671 0.0429 0.5786  4 Pm 3.19-3.49, 2 Ce 3.49-3.54
Pm: 0.0429 0.2671 0.9214  4 Pm 3.19-3.49, 2 Ce 3.49-3.54
Tb: 0.8496 0.8496 0.7500  2 Ce 3.29, 1 Tb 3.47, 8 Pm 3.58-3.67
Pm: 0.6708 0.3292 0.5000  4 Pm 3.36-3.74, 2 Ce 3.44, 2 Tb 3.58

SG: Cmcm
DFT formation energy in eV per formula unit: 1.13


(4)
The following is a DFT calculation (PBE-GGA) of a relaxed Tb6CePm crystal.

Lattice parameters (Å, degrees): 6.6005 6.5361 7.5916 64.87 63.14 89.85
Last column: nearest neighbours and their distance in Å.
Atoms (fractional coordinates):
Tb: 0.5014 0.7492 0.9998  6 Tb 3.26-3.49
Tb: 0.4486 0.2688 0.4632  6 Tb 3.32-3.45, 1 Pm 3.39, 1 Ce 3.44
Tb: 0.9192 0.2400 0.5197  6 Tb 3.32-3.49, 1 Ce 3.34, 1 Pm 3.60
Ce: 0.0000 0.5000 0.0000  2 Pm 3.27, 4 Tb 3.34-3.44
Tb: 0.5514 0.7312 0.5368  6 Tb 3.32-3.45, 1 Pm 3.39, 1 Ce 3.44
Tb: 0.4986 0.2508 0.0002  6 Tb 3.26-3.49
Tb: 0.0808 0.7600 0.4803  6 Tb 3.32-3.49, 1 Ce 3.34, 1 Pm 3.60
Pm: 0.0000 0.0000 0.0000  2 Ce 3.27, 4 Tb 3.39-3.60

ΔE to the lowest computed polymorph in kcal/mol of atoms: 3.88
SG: P-1
DFT formation energy in eV per formula unit: 1.68


(5)
The following is a DFT calculation (PBE-GGA) of a relaxed Tb2CePm3 crystal.

Lattice parameters (Å, degrees): 7.1947 8.8305 11.3901 39.11 71.74 90.13
Last column: nearest neighbours and their distance in Å.
Atoms (fractional coordinates):
Tb: 0.3319 0.2494 0.0841  8 Pm 3.57-3.64, 3 Tb 3.59-3.60, 1 Ce 3.59
Pm: 0.1627 0.2514 0.4189  6 Tb 3.57-3.64, 2 Ce 3.57, 4 Pm 3.59-3.62
Pm: 0.4998 0.2497 0.7502  4 Pm 3.59, 4 Ce 3.60, 4 Tb 3.61
Pm: 0.8373 0.7486 0.5811  6 Tb 3.57-3.64, 2 Ce 3.57, 4 Pm 3.59-3.62
Pm: 0.5002 0.7503 0.2498  4 Pm 3.59, 4 Ce 3.60, 4 Tb 3.61
Tb: 0.6681 0.7506 0.9159  8 Pm 3.57-3.64, 3 Tb 3.59-3.60, 1 Ce 3.59
Tb: 0.6679 0.2505 0.4159  8 Pm 3.57-3.64, 3 Tb 3.59-3.60, 1 Ce 3.59
Ce: 0.0001 0.2502 0.7498  8 Pm 3.57-3.60, 2 Ce 3.59, 2 Tb 3.59
Pm: 0.1625 0.7513 0.9190  6 Tb 3.57-3.64, 2 Ce 3.57, 4 Pm 3.59-3.62
Pm: 0.8375 0.2487 0.0810  6 Tb 3.57-3.64, 2 Ce 3.57, 4 Pm 3.59-3.62
Tb: 0.3321 0.7495 0.5841  8 Pm 3.57-3.64, 3 Tb 3.59-3.60, 1 Ce 3.59
Ce: 0.9999 0.7498 0.2502  8 Pm 3.57-3.60, 2 Ce 3.59, 2 Tb 3.59

SG: P-1
DFT formation energy in eV per formula unit: 0.30


(6)
The following is a DFT calculation (PBE-GGA) of a relaxed TbCePmTc crystal.

Lattice parameters (Å, degrees): 4.4372 4.4372 7.1987 89.98 107.96 120.03
Last column: nearest neighbours and their distance in Å.
Atoms (fractional coordinates):
Pm: 0.9498 0.8397 0.7895  3 Ce 3.39, 3 Tb 3.54, 3 Tc 3.58
Tc: 0.5315 0.6305 0.1620  3 Ce 2.58
Tb: 0.3744 0.0517 0.4261  3 Tc 3.12, 3 Ce 3.29
Ce: 0.8364 0.2826 0.1189  3 Tc 2.58

SG: R3m
DFT formation energy in eV per formula unit: 0.41


(7)
The following is a DFT calculation (PBE-GGA) of a relaxed TbCe2Pm3Te6 crystal.

Lattice parameters (Å, degrees): 4.4342 8.9737 9.9779 103.33 102.84 90.00
Last column: nearest neighbours and their distance in Å.
Atoms (fractional coordinates):
Te: 0.6658 0.5853 0.3317  3 Pm 3.14, 3 Ce 3.15-3.16
Pm: 0.8322 0.1659 0.6643  6 Te 3.14-3.18
Te: 0.6641 0.0817 0.3283  1 Tb 3.10, 3 Pm 3.15-3.18, 2 Ce 3.17
Te: 0.9993 0.2441 0.9987  2 Tb 3.12, 3 Pm 3.16-3.19, 1 Ce 3.18
Te: 0.3359 0.9183 0.6717  1 Tb 3.10, 3 Pm 3.15-3.18, 2 Ce 3.17
Pm: 0.1678 0.8341 0.3357  6 Te 3.14-3.18
Tb: 0.5000 0.0000 0.0000  6 Te 3.10-3.12
Ce: 0.1674 0.3357 0.3347  6 Te 3.15-3.18
Pm: 0.5000 0.5000 0.0000  6 Te 3.14-3.19
Te: 0.3342 0.4147 0.6683  3 Pm 3.14, 3 Ce 3.15-3.16
Ce: 0.8326 0.6643 0.6653  6 Te 3.15-3.18
Te: 0.0007 0.7559 0.0013  2 Tb 3.12, 3 Pm 3.16-3.19, 1 Ce 3.18

Formation energy from raw total energies in eV/f.u.: -16.61
SG: C2/m


(8)
The following is a DFT calculation (PBE-GGA) of a relaxed Tb3Ce2PmTe6 crystal.

Lattice parameters (Å, degrees): 4.3928 8.9318 9.9268 103.83 102.78 90.00
Last column: nearest neighbours and their distance in Å.
Atoms (fractional coordinates):
Te: 0.9984 0.2543 0.9967  3 Tb 3.08-3.10, 2 Pm 3.17, 1 Ce 3.17
Te: 0.6686 0.0782 0.3372  3 Tb 3.09-3.11, 1 Pm 3.17, 2 Ce 3.18
Pm: 0.5000 0.0000 0.0000  6 Te 3.17
Tb: 0.5000 0.5000 0.0000  6 Te 3.08-3.10
Ce: 0.8329 0.6656 0.6659  6 Te 3.17-3.18
Tb: 0.8343 0.1669 0.6685  6 Te 3.08-3.11
Te: 0.6643 0.5892 0.3286  3 Tb 3.08-3.09, 3 Ce 3.17
Tb: 0.1657 0.8331 0.3315  6 Te 3.08-3.11
Ce: 0.1671 0.3344 0.3341  6 Te 3.17-3.18
Te: 0.3314 0.9218 0.6628  3 Tb 3.09-3.11, 1 Pm 3.17, 2 Ce 3.18
Te: 0.0016 0.7457 0.0033  3 Tb 3.08-3.10, 2 Pm 3.17, 1 Ce 3.17
Te: 0.3357 0.4108 0.6714  3 Tb 3.08-3.09, 3 Ce 3.17

Formation energy from raw total energies in eV/f.u.: -16.26
SG: C2/m


(9)
The following is a DFT calculation (PBE-GGA) of a relaxed Tb2Ce3PmTe6 crystal.

Lattice parameters (Å, degrees): 7.6638 7.6638 7.7731 99.45 99.45 120.09
Last column: nearest neighbours and their distance in Å.
Atoms (fractional coordinates):
Tb: 0.3327 0.6673 0.0000  6 Te 3.09-3.10
Pm: 0.0000 0.0000 0.0000  6 Te 3.14-3.15
Tb: 0.6673 0.3327 0.0000  6 Te 3.09-3.10
Te: 0.2585 0.2585 0.7595  2 Tb 3.09, 1 Pm 3.14, 3 Ce 3.15-3.17
Te: 0.9185 0.5802 0.7560  2 Tb 3.10, 1 Pm 3.15, 3 Ce 3.17-3.19
Te: 0.4198 0.0815 0.2440  2 Tb 3.10, 1 Pm 3.15, 3 Ce 3.17-3.19
Te: 0.7415 0.7415 0.2405  2 Tb 3.09, 1 Pm 3.14, 3 Ce 3.15-3.17
Ce: 0.8366 0.1634 0.5000  6 Te 3.17-3.19
Te: 0.5802 0.9185 0.7560  2 Tb 3.10, 1 Pm 3.15, 3 Ce 3.17-3.19
Ce: 0.5000 0.5000 0.5000  6 Te 3.15-3.19
Ce: 0.1634 0.8366 0.5000  6 Te 3.17-3.19
Te: 0.0815 0.4198 0.2440  2 Tb 3.10, 1 Pm 3.15, 3 Ce 3.17-3.19

Formation energy from raw total energies in eV/f.u.: -16.39
SG: C2/m


(10)
The following is a DFT calculation (PBE-GGA) of a relaxed TbCe2PmTe5 crystal.

Lattice parameters (Å, degrees): 5.5414 5.5414 11.7567 90.00 90.00 90.00
Last column: nearest neighbours and their distance in Å.
Atoms (fractional coordinates):
Te: 0.0000 0.5000 0.5000  2 Tb 2.77
Pm: 0.0000 0.0000 0.0000  2 Te 2.91
Te: 0.0000 0.0000 0.7523  1 Pm 2.91, 1 Tb 2.97
Te: 0.5000 0.5000 0.0000  2 Ce 3.84, 4 Pm 3.92
Tb: 0.0000 0.0000 0.5000  6 Te 2.77-2.97
Ce: 0.5000 0.5000 0.3262  5 Te 3.44-3.84
Te: 0.0000 0.0000 0.2477  1 Pm 2.91, 1 Tb 2.97
Ce: 0.5000 0.5000 0.6738  5 Te 3.44-3.84
Te: 0.5000 0.0000 0.5000  2 Tb 2.77

Formation energy from raw total energies in eV/f.u.: -7.48
SG: P4/mmm